Material: Cd2SnBr
Method: DFT, GGA-PBE
State: relaxed

```
Cd2SnBr
1.0
4.104 0.000 0.000
-2.052 3.554 0.000
0.000 0.000 23.379
Cd Sn Br
6 3 3
direct
0.000 0.000 0.246
0.000 0.000 0.754
0.333 0.667 0.421
0.333 0.667 0.912
0.667 0.333 0.088
0.667 0.333 0.579
0.000 0.000 0.500
0.333 0.667 0.167
0.667 0.333 0.833
0.000 0.000 0.000
0.333 0.667 0.667
0.667 0.333 0.333
```

Summary:
**Space-group type**: R-3m, No. 166
**Total DFT energy (no corrections)**: -24.6 eV per cell
**Formation energy without anion corrections**: -175.1 meV/atom
**Polymorph energy (0 for the lowest one)**: 0 meV per atom

---

Material: PS3Br
Method: DFT, GGA-PBE
State: relaxed

```
PS3Br
1.0
6.460 0.000 0.000
-3.230 5.595 0.000
0.000 0.000 5.674
P S Br
2 6 2
direct
0.000 0.000 0.000
0.000 0.000 0.500
0.154 0.308 0.250
0.154 0.846 0.250
0.308 0.154 0.750
0.692 0.846 0.250
0.846 0.154 0.750
0.846 0.692 0.750
0.333 0.667 0.750
0.667 0.333 0.250
```

Summary:
**Space-group type**: P6_3/mmc, No. 194
**Total DFT energy (no corrections)**: -35.9 eV per cell
**Formation energy without anion corrections**: 302.5 meV/atom
**Polymorph energy (0 for the lowest one)**: 463 meV per atom

---

Material: CaMg2Ga9
Method: DFT, GGA-PBE
State: relaxed

```
CaMg2Ga9
1.0
2.716 1.568 9.482
-2.716 1.568 9.482
0.000 -3.137 9.482
Ca Mg Ga
1 2 9
direct
0.000 0.000 0.000
0.142 0.142 0.142
0.858 0.858 0.858
0.081 0.589 0.589
0.337 0.337 0.337
0.411 0.411 0.919
0.411 0.919 0.411
0.500 0.500 0.500
0.589 0.081 0.589
0.589 0.589 0.081
0.663 0.663 0.663
0.919 0.411 0.411
```

Summary:
**Space-group type**: R-3m, No. 166
**DFT formation energy**: -136 kJ/mol of formula units
**Total DFT energy (no corrections)**: -33.8 eV per cell

---

Material: Te3PtAu
Method: DFT, GGA-PBE
State: relaxed

```
Te3PtAu
1.0
7.532 0.000 0.000
0.000 4.025 0.000
-0.005 0.000 9.317
Te Pt Au
6 2 2
direct
0.037 0.250 0.329
0.205 0.750 0.009
0.381 0.250 0.665
0.619 0.750 0.335
0.795 0.250 0.991
0.963 0.750 0.671
0.094 0.250 0.835
0.906 0.750 0.165
0.391 0.250 0.278
0.609 0.750 0.722
```

Summary:
**Space-group type**: P2_1/m, No. 11
**Total DFT energy (no corrections)**: -39.6 eV per cell
**Formation energy without anion corrections**: -210.2 meV/atom
**Polymorph energy (0 for the lowest one)**: 0 meV per atom

---

Material: Ca5LaTl6
Method: DFT, GGA-PBE
State: relaxed

```
Ca5LaTl6
1.0
5.498 0.000 0.000
0.000 7.860 0.000
-2.739 0.000 8.274
Ca La Tl
5 1 6
direct
0.000 0.000 0.000
0.330 0.500 0.661
0.334 0.000 0.668
0.666 0.000 0.332
0.670 0.500 0.339
0.000 0.500 0.000
0.167 0.243 0.334
0.167 0.757 0.334
0.500 0.244 0.000
0.500 0.756 0.000
0.833 0.243 0.666
0.833 0.757 0.666
```

Summary:
**Space-group type**: P2/m, No. 10
**DFT formation energy**: -516 kJ/mol of formula units
**Total DFT energy (no corrections)**: -34.5 eV per cell

---

Material: InCuSbTe2
Method: DFT, GGA-PBE
State: relaxed

```
InCuSbTe2
1.0
5.423 0.000 0.000
0.000 5.423 0.000
0.000 0.000 4.955
In Cu Sb Te
1 1 1 2
direct
0.000 0.000 0.000
0.500 0.500 0.500
0.500 0.500 0.000
0.000 0.500 0.500
0.500 0.000 0.500
```

Summary:
**Space-group type**: P4/mmm, No. 123
**Total DFT energy (no corrections)**: -15.9 eV per cell
**Formation energy without anion corrections**: 265.0 meV/atom
**Polymorph energy (0 for the lowest one)**: 0 meV per atom

---

Material: IrRh2Br
Method: DFT, GGA-PBE
State: relaxed

```
IrRh2Br
1.0
3.982 0.000 0.000
0.000 3.982 0.000
0.000 0.000 3.957
Ir Rh Br
1 2 1
direct
0.000 0.000 0.000
0.000 0.500 0.500
0.500 0.000 0.500
0.500 0.500 0.000
```

Summary:
**Space-group type**: P4/mmm, No. 123
**Total DFT energy (no corrections)**: -21.5 eV per cell
**Formation energy without anion corrections**: 934.1 meV/atom
**Polymorph energy (0 for the lowest one)**: 557 meV per atom

---

Material: K2BaSc
Method: DFT, GGA-PBE
State: relaxed

```
K2BaSc
1.0
4.228 0.000 0.000
0.000 6.584 0.000
0.000 0.000 14.341
K Ba Sc
4 2 2
direct
0.000 0.000 0.225
0.000 0.000 0.775
0.500 0.500 0.225
0.500 0.500 0.775
0.000 0.500 0.500
0.500 0.000 0.500
0.000 0.500 0.000
0.500 0.000 0.000
```

Summary:
**Space-group type**: Cmmm, No. 65
**DFT formation energy**: 198 kJ/mol of formula units
**Total DFT energy (no corrections)**: -16.8 eV per cell
**Polymorph energy (0 for the lowest one)**: 153 meV per atom

---

Material: ThPb5
Method: DFT, GGA-PBE
State: relaxed

```
ThPb5
1.0
4.768 0.000 0.000
0.000 16.063 0.000
0.000 0.000 4.791
Th Pb
2 10
direct
0.000 0.000 0.000
0.500 0.500 0.000
0.000 0.169 0.500
0.000 0.339 0.000
0.000 0.500 0.500
0.000 0.661 0.000
0.000 0.831 0.500
0.500 0.000 0.500
0.500 0.161 0.000
0.500 0.331 0.500
0.500 0.669 0.500
0.500 0.839 0.000
```

Summary:
**Space-group type**: Cmmm, No. 65
**DFT formation energy**: -52 kJ/mol of formula units
**Total DFT energy (no corrections)**: -53.0 eV per cell
**Polymorph energy (0 for the lowest one)**: 0 meV per atom

---

Material: AgRuAu2
Method: DFT, GGA-PBE
State: relaxed

```
AgRuAu2
1.0
6.512 0.000 0.000
0.000 6.512 0.000
0.000 0.000 6.512
Ag Ru Au
4 4 8
direct
0.000 0.000 0.000
0.000 0.500 0.500
0.500 0.000 0.500
0.500 0.500 0.000
0.000 0.000 0.500
0.000 0.500 0.000
0.500 0.000 0.000
0.500 0.500 0.500
0.250 0.250 0.250
0.250 0.250 0.750
0.250 0.750 0.250
0.250 0.750 0.750
0.750 0.250 0.250
0.750 0.250 0.750
0.750 0.750 0.250
0.750 0.750 0.750
```

Summary:
**Space-group type**: Fm-3m, No. 225
**DFT formation energy**: 155 kJ/mol of formula units
**Total DFT energy (no corrections)**: -68.3 eV per cell
**Polymorph energy (0 for the lowest one)**: 154 meV per atom

---

Material: Ce2PmTh3P6
Method: DFT, GGA-PBE
State: relaxed

```
Ce2PmTh3P6
1.0
3.575 -6.192 0.000
3.575 6.192 0.000
-2.382 0.000 6.728
Ce Pm Th P
2 1 3 6
direct
0.167 0.833 0.000
0.833 0.167 0.000
0.500 0.500 0.000
0.000 0.000 0.500
0.334 0.666 0.500
0.666 0.334 0.500
0.081 0.417 0.752
0.247 0.247 0.248
0.417 0.081 0.752
0.583 0.919 0.248
0.753 0.753 0.752
0.919 0.583 0.248
```

Summary:
**Space-group type**: C2/m, No. 12
**DFT formation energy**: -1798 kJ/mol of formula units
**Total DFT energy (no corrections)**: -90.0 eV per cell

---

Material: Nd2Dy6Er5
Method: DFT, GGA-PBE
State: relaxed

```
Nd2Dy6Er5
1.0
11.665 0.000 0.000
0.000 20.113 0.000
0.000 0.000 3.577
Nd Dy Er
4 12 10
direct
0.166 0.215 0.000
0.334 0.715 0.000
0.666 0.285 0.000
0.834 0.785 0.000
0.059 0.922 0.000
0.080 0.634 0.000
0.177 0.373 0.500
0.323 0.873 0.500
0.420 0.134 0.000
0.441 0.422 0.000
0.559 0.578 0.000
0.580 0.866 0.000
0.677 0.127 0.500
0.823 0.627 0.500
0.920 0.366 0.000
0.941 0.078 0.000
0.000 0.500 0.500
0.094 0.778 0.500
0.199 0.051 0.500
0.301 0.551 0.500
0.406 0.278 0.500
0.500 0.000 0.500
0.594 0.722 0.500
0.699 0.449 0.500
0.801 0.949 0.500
0.906 0.222 0.500
```

Summary:
**Space-group type**: Pbam, No. 55
**DFT formation energy**: 126 kJ/mol of formula units
**Total DFT energy (no corrections)**: -117.3 eV per cell